1.
Ce4Tl5Ga2: optimized geometry, PBE-GGA.

Lattice parameters (Å, degrees): 3.389 8.409 10.351 95.14 90.00 90.00
Fractional positions:
Tl1 0.000 0.817 0.843
Tl2 0.000 0.551 0.306
Tl3 0.000 0.183 0.157
Tl4 0.000 0.449 0.694
Tl5 0.000 0.500 0.000
Ga1 0.000 0.055 0.624
Ga2 0.000 0.945 0.376
Ce1 0.500 0.744 0.556
Ce2 0.500 0.830 0.134
Ce3 0.500 0.256 0.444
Ce4 0.500 0.170 0.866

Properties
Space-group type   P2/m, No. 10
Total moment   0.336 μB/atom



2.
ScCd3Pt4: optimized geometry, PBE-GGA.

Lattice parameters (Å, degrees): 3.443 3.443 11.964 90.00 90.00 90.00
Fractional positions:
Sc1 0.500 0.500 0.000
Pt1 0.000 0.000 0.626
Pt2 0.000 0.000 0.879
Pt3 0.000 0.000 0.121
Pt4 0.000 0.000 0.374
Cd1 0.500 0.500 0.253
Cd2 0.500 0.500 0.500
Cd3 0.500 0.500 0.747

Properties
Space-group type   P4/mmm, No. 123
Total moment   0.000 μB/atom



3.
VCoSb: optimized geometry, PBE-GGA.

Lattice parameters (Å, degrees): 5.294 3.145 5.859 105.63 90.00 90.00
Fractional positions:
Sb1 0.000 0.041 0.580
Sb2 0.500 0.697 0.891
V1 0.750 0.369 0.236
V2 0.250 0.369 0.236
Co1 0.500 0.994 0.484
Co2 0.000 0.744 0.987

Properties
Space-group type   Cmcm, No. 63
Total moment   0.000 μB/atom
Raw formation energy   15 meV per atom



4.
ZnGeSe2S: optimized geometry, PBE-GGA.

Lattice parameters (Å, degrees): 4.924 4.636 4.924 90.00 90.00 90.00
Fractional positions:
S1 0.000 0.500 0.000
Se1 0.500 0.000 0.000
Se2 0.000 0.000 0.500
Ge1 0.500 0.500 0.500
Zn1 0.000 0.000 0.000

Properties
Space-group type   P4/mmm, No. 123
Offset from the most stable computed form   0.0 meV/atom
Total moment   0.000 μB/atom
Raw formation energy   374 meV per atom



5.
TbZnRh4: optimized geometry, PBE-GGA.

Lattice parameters (Å, degrees): 3.968 6.075 8.523 90.00 103.46 90.00
Fractional positions:
Rh1 0.500 0.500 0.000
Rh2 0.075 0.750 0.151
Rh3 0.335 0.037 0.670
Rh4 0.665 0.963 0.330
Rh5 0.925 0.250 0.849
Rh6 0.665 0.537 0.330
Rh7 0.335 0.463 0.670
Rh8 0.500 0.000 0.000
Tb1 0.901 0.750 0.802
Tb2 0.099 0.250 0.198
Zn1 0.229 0.750 0.459
Zn2 0.771 0.250 0.541

Properties
Space-group type   Cmcm, No. 63
Total moment   0.000 μB/atom



6.
ScTe2O5: optimized geometry, PBE-GGA.

Lattice parameters (Å, degrees): 6.593 7.301 10.399 90.00 90.00 90.00
Fractional positions:
O1 0.176 0.185 0.204
O2 0.750 0.000 0.562
O3 0.324 0.815 0.204
O4 0.676 0.315 0.296
O5 0.965 0.853 0.068
O6 0.965 0.647 0.568
O7 0.176 0.315 0.704
O8 0.250 0.000 0.438
O9 0.824 0.815 0.796
O10 0.035 0.147 0.932
O11 0.535 0.147 0.068
O12 0.465 0.853 0.932
O13 0.324 0.685 0.704
O14 0.035 0.353 0.432
O15 0.465 0.647 0.432
O16 0.676 0.185 0.796
O17 0.824 0.685 0.296
O18 0.250 0.500 0.938
O19 0.750 0.500 0.062
O20 0.535 0.353 0.568
Te1 0.995 0.884 0.652
Te2 0.005 0.384 0.848
Te3 0.005 0.116 0.348
Te4 0.495 0.616 0.848
Te5 0.505 0.384 0.152
Te6 0.505 0.116 0.652
Te7 0.495 0.884 0.348
Te8 0.995 0.616 0.152
Sc1 0.750 0.000 0.942
Sc2 0.250 0.500 0.558
Sc3 0.250 0.000 0.058
Sc4 0.750 0.500 0.442

Properties
Space-group type   Pbcn, No. 60
Total moment   0.000 μB/atom
Raw formation energy   -1633 meV per atom



7.
Sc2CoAs: optimized geometry, PBE-GGA.

Lattice parameters (Å, degrees): 6.979 6.979 5.791 52.94 52.94 90.00
Fractional positions:
As1 0.000 0.000 0.000
As2 0.750 0.250 0.500
Co1 0.250 0.750 0.500
Co2 0.500 0.500 0.000
Sc1 0.875 0.844 0.750
Sc2 0.156 0.625 0.250
Sc3 0.375 0.406 0.750
Sc4 0.594 0.125 0.250

Properties
Space-group type   I-42d, No. 122
Total moment   0.000 μB/atom



8.
Hg2BiAsRh: optimized geometry, PBE-GGA.

Lattice parameters (Å, degrees): 5.303 4.639 5.303 90.00 90.00 90.00
Fractional positions:
Hg1 0.500 0.000 0.000
Hg2 0.000 0.000 0.500
As1 0.000 0.000 0.000
Rh1 0.000 0.500 0.000
Bi1 0.500 0.500 0.500

Properties
Space-group type   P4/mmm, No. 123
Total moment   0.000 μB/atom



no.,final energy (eV per atom)
1,-4.053
2,-4.736
3,-6.767
4,-3.023
5,-6.210
6,-6.309
7,-6.403
8,-2.850